w.
An optimized crystal structure of GaO. Source: Alexandria, functional PBE-GGA.

Properties
The crystal system is cubic. The value obtained for the total magnetic moment is 0.000 μB/atom.

Cell lengths 3.253, 3.253, 3.253 Å; angles 60.00, 60.00, 60.00 degrees
Positions (direct):
1 Ga 0.000 0.000 0.000
2 O 0.500 0.500 0.500



x.
An optimized crystal structure of GaO. Source: Alexandria, functional PBE-GGA.

Properties
The crystal system is tetragonal. The value obtained for the total magnetic moment is 0.000 μB/atom.

Cell lengths 5.425, 5.425, 9.081 Å; angles 90.00, 90.00, 90.00 degrees
Positions (direct):
1 Ga 0.054 0.163 0.153
2 Ga 0.163 0.054 0.847
3 Ga 0.337 0.554 0.403
4 Ga 0.446 0.663 0.097
5 Ga 0.554 0.337 0.597
6 Ga 0.663 0.446 0.903
7 Ga 0.837 0.946 0.347
8 Ga 0.946 0.837 0.653
9 O 0.060 0.738 0.461
10 O 0.238 0.440 0.211
11 O 0.262 0.940 0.039
12 O 0.440 0.238 0.789
13 O 0.560 0.762 0.289
14 O 0.738 0.060 0.539
15 O 0.762 0.560 0.711
16 O 0.940 0.262 0.961



y.
An optimized crystal structure of GaO. Source: Alexandria, functional PBE-GGA.

Properties
The crystal system is hexagonal. The value obtained for the total magnetic moment is 0.000 μB/atom.

Cell lengths 7.643, 7.643, 3.345 Å; angles 90.00, 90.00, 120.00 degrees
Positions (direct):
1 Ga 0.055 0.703 0.250
2 Ga 0.297 0.352 0.250
3 Ga 0.352 0.055 0.750
4 Ga 0.648 0.945 0.250
5 Ga 0.703 0.648 0.750
6 Ga 0.945 0.297 0.750
7 O 0.099 0.453 0.250
8 O 0.354 0.901 0.250
9 O 0.453 0.354 0.750
10 O 0.547 0.646 0.250
11 O 0.646 0.099 0.750
12 O 0.901 0.547 0.750



Going by the energies, x is most stable and the next is 501 meV per atom up.



w.
An optimized crystal structure of GaP2O2. Source: Alexandria, functional PBE-GGA.

Properties
The crystal system is tetragonal. The value obtained for the total magnetic moment is 0.275 μB/atom.

Cell lengths 3.579, 3.579, 7.026 Å; angles 90.00, 90.00, 90.00 degrees
Positions (direct):
1 Ga 0.000 0.000 0.000
2 P 0.000 0.000 0.500
3 P 0.500 0.500 0.500
4 O 0.000 0.500 0.000
5 O 0.500 0.000 0.000



x.
An optimized crystal structure of GaP2O2. Source: Alexandria, functional PBE-GGA.

Properties
The crystal system is tetragonal. The value obtained for the total magnetic moment is 0.000 μB/atom.

Cell lengths 3.667, 3.667, 5.741 Å; angles 90.00, 90.00, 90.00 degrees
Positions (direct):
1 Ga 0.000 0.000 0.000
2 P 0.000 0.500 0.500
3 P 0.500 0.000 0.500
4 O 0.500 0.500 0.000
5 O 0.500 0.500 0.500



Going by the energies, w is most stable and the next is 536 meV per atom up.



w.
An optimized crystal structure of GaP2O2. Source: Alexandria, functional PBE-GGA.

Properties
The crystal system is tetragonal. The value obtained for the total magnetic moment is 0.000 μB/atom.

Cell lengths 4.721, 4.721, 3.600 Å; angles 90.00, 90.00, 90.00 degrees
Positions (direct):
1 Ga 0.000 0.000 0.000
2 P 0.000 0.500 0.000
3 P 0.500 0.000 0.000
4 O 0.000 0.000 0.500
5 O 0.500 0.500 0.500



x.
An optimized crystal structure of GaP2O2. Source: Alexandria, functional PBE-GGA.

Properties
The crystal system is tetragonal. The value obtained for the total magnetic moment is 0.000 μB/atom.

Cell lengths 3.517, 3.517, 4.749 Å; angles 90.00, 90.00, 90.00 degrees
Positions (direct):
1 Ga 0.000 0.000 0.000
2 P 0.500 0.500 0.000
3 P 0.500 0.500 0.500
4 O 0.000 0.500 0.500
5 O 0.500 0.000 0.500



Going by the energies, x is most stable and the next is 1373 meV per atom up.



w.
An optimized crystal structure of GaP2O6. Source: Alexandria, functional PBE-GGA.

Properties
The crystal system is monoclinic. The value obtained for the total magnetic moment is 0.000 μB/atom.

Cell lengths 4.927, 4.927, 8.231 Å; angles 95.13, 95.13, 35.70 degrees
Positions (direct):
1 Ga 0.000 0.000 0.000
2 P 0.299 0.299 0.251
3 P 0.701 0.701 0.749
4 O 0.142 0.142 0.188
5 O 0.165 0.165 0.661
6 O 0.398 0.398 0.103
7 O 0.602 0.602 0.897
8 O 0.835 0.835 0.339
9 O 0.858 0.858 0.812



x.
An optimized crystal structure of GaP2O6. Source: Alexandria, functional PBE-GGA.

Properties
The crystal system is trigonal. The value obtained for the total magnetic moment is 0.109 μB/atom.

Cell lengths 6.384, 6.384, 6.384 Å; angles 46.33, 46.33, 46.33 degrees
Positions (direct):
1 Ga 0.000 0.000 0.000
2 P 0.268 0.268 0.268
3 P 0.399 0.399 0.399
4 O 0.148 0.346 0.740
5 O 0.196 0.990 0.583
6 O 0.346 0.740 0.148
7 O 0.583 0.196 0.990
8 O 0.740 0.148 0.346
9 O 0.990 0.583 0.196



Going by the energies, w is most stable and the next is 79 meV per atom up.



w.
An optimized crystal structure of GaPPdO2. Source: Alexandria, functional PBE-GGA.

Properties
The crystal system is tetragonal. The value obtained for the total magnetic moment is 0.304 μB/atom.

Cell lengths 3.586, 3.586, 6.901 Å; angles 90.00, 90.00, 90.00 degrees
Positions (direct):
1 Ga 0.000 0.000 0.000
2 P 0.000 0.000 0.500
3 Pd 0.500 0.500 0.500
4 O 0.000 0.500 0.000
5 O 0.500 0.000 0.000



x.
An optimized crystal structure of GaPPdO2. Source: Alexandria, functional PBE-GGA.

Properties
The crystal system is tetragonal. The value obtained for the total magnetic moment is 0.266 μB/atom.

Cell lengths 3.889, 3.889, 5.033 Å; angles 90.00, 90.00, 90.00 degrees
Positions (direct):
1 Ga 0.000 0.000 0.000
2 P 0.500 0.500 0.000
3 Pd 0.500 0.500 0.500
4 O 0.000 0.500 0.500
5 O 0.500 0.000 0.500



Going by the energies, w is most stable and the next is 305 meV per atom up.



w.
An optimized crystal structure of GaP2PdO. Source: Alexandria, functional PBE-GGA.

Properties
The crystal system is tetragonal. The value obtained for the total magnetic moment is 0.000 μB/atom.

Cell lengths 4.882, 4.882, 3.503 Å; angles 90.00, 90.00, 90.00 degrees
Positions (direct):
1 Ga 0.000 0.000 0.000
2 P 0.000 0.500 0.000
3 P 0.500 0.000 0.000
4 Pd 0.500 0.500 0.500
5 O 0.000 0.000 0.500



x.
An optimized crystal structure of GaP2PdO. Source: Alexandria, functional PBE-GGA.

Properties
The crystal system is tetragonal. The value obtained for the total magnetic moment is 0.000 μB/atom.

Cell lengths 4.824, 4.824, 3.824 Å; angles 90.00, 90.00, 90.00 degrees
Positions (direct):
1 Ga 0.000 0.000 0.000
2 P 0.000 0.500 0.500
3 P 0.500 0.000 0.500
4 Pd 0.500 0.500 0.500
5 O 0.500 0.500 0.000



Going by the energies, w is most stable and the next is 94 meV per atom up.



w.
An optimized crystal structure of GaPPtO2. Source: Alexandria, functional PBE-GGA.

Properties
The crystal system is tetragonal. The value obtained for the total magnetic moment is 0.115 μB/atom.

Cell lengths 3.867, 3.867, 5.122 Å; angles 90.00, 90.00, 90.00 degrees
Positions (direct):
1 Ga 0.000 0.000 0.000
2 P 0.500 0.500 0.000
3 Pt 0.500 0.500 0.500
4 O 0.000 0.500 0.500
5 O 0.500 0.000 0.500



x.
An optimized crystal structure of GaPPtO2. Source: Alexandria, functional PBE-GGA.

Properties
The crystal system is tetragonal. The value obtained for the total magnetic moment is 0.185 μB/atom.

Cell lengths 3.556, 3.556, 7.779 Å; angles 90.00, 90.00, 90.00 degrees
Positions (direct):
1 Ga 0.000 0.000 0.000
2 P 0.000 0.000 0.500
3 Pt 0.500 0.500 0.500
4 O 0.000 0.500 0.000
5 O 0.500 0.000 0.000



Going by the energies, x is most stable and the next is 226 meV per atom up.



w.
An optimized crystal structure of RbGaP2O. Source: Alexandria, functional PBE-GGA.

Properties
The crystal system is tetragonal. The value obtained for the total magnetic moment is 0.000 μB/atom.

Cell lengths 5.412, 5.412, 3.661 Å; angles 90.00, 90.00, 90.00 degrees
Positions (direct):
1 Rb 0.000 0.000 0.000
2 Ga 0.500 0.500 0.500
3 P 0.000 0.500 0.500
4 P 0.500 0.000 0.500
5 O 0.500 0.500 0.000



x.
An optimized crystal structure of RbGaP2O. Source: Alexandria, functional PBE-GGA.

Properties
The crystal system is tetragonal. The value obtained for the total magnetic moment is 1.200 μB/atom.

Cell lengths 6.331, 6.331, 4.847 Å; angles 90.00, 90.00, 90.00 degrees
Positions (direct):
1 Rb 0.000 0.000 0.000
2 Ga 0.500 0.500 0.500
3 P 0.000 0.500 0.000
4 P 0.500 0.000 0.000
5 O 0.000 0.000 0.500



Going by the energies, w is most stable and the next is 1214 meV per atom up.



w.
An optimized crystal structure of GaReP2O. Source: Alexandria, functional PBE-GGA.

Properties
The crystal system is tetragonal. The value obtained for the total magnetic moment is 0.000 μB/atom.

Cell lengths 4.795, 4.795, 3.735 Å; angles 90.00, 90.00, 90.00 degrees
Positions (direct):
1 Ga 0.000 0.000 0.000
2 Re 0.500 0.500 0.500
3 P 0.000 0.500 0.500
4 P 0.500 0.000 0.500
5 O 0.500 0.500 0.000



x.
An optimized crystal structure of GaReP2O. Source: Alexandria, functional PBE-GGA.

Properties
The crystal system is tetragonal. The value obtained for the total magnetic moment is 0.376 μB/atom.

Cell lengths 4.807, 4.807, 3.451 Å; angles 90.00, 90.00, 90.00 degrees
Positions (direct):
1 Ga 0.000 0.000 0.000
2 Re 0.500 0.500 0.500
3 P 0.000 0.500 0.000
4 P 0.500 0.000 0.000
5 O 0.000 0.000 0.500



Going by the energies, w is most stable and the next is 969 meV per atom up.



w.
An optimized crystal structure of GaRePO2. Source: Alexandria, functional PBE-GGA.

Properties
The crystal system is tetragonal. The value obtained for the total magnetic moment is 0.549 μB/atom.

Cell lengths 3.573, 3.573, 6.446 Å; angles 90.00, 90.00, 90.00 degrees
Positions (direct):
1 Ga 0.000 0.000 0.000
2 Re 0.500 0.500 0.500
3 P 0.000 0.000 0.500
4 O 0.000 0.500 0.000
5 O 0.500 0.000 0.000



x.
An optimized crystal structure of GaRePO2. Source: Alexandria, functional PBE-GGA.

Properties
The crystal system is tetragonal. The value obtained for the total magnetic moment is 0.000 μB/atom.

Cell lengths 3.801, 3.801, 5.109 Å; angles 90.00, 90.00, 90.00 degrees
Positions (direct):
1 Ga 0.000 0.000 0.000
2 Re 0.500 0.500 0.500
3 P 0.500 0.500 0.000
4 O 0.000 0.500 0.500
5 O 0.500 0.000 0.500



Going by the energies, x is most stable and the next is 967 meV per atom up.



w.
An optimized crystal structure of GaPRuO2. Source: Alexandria, functional PBE-GGA.

Properties
The crystal system is tetragonal. The value obtained for the total magnetic moment is 0.065 μB/atom.

Cell lengths 3.758, 3.758, 5.242 Å; angles 90.00, 90.00, 90.00 degrees
Positions (direct):
1 Ga 0.000 0.000 0.000
2 P 0.500 0.500 0.000
3 Ru 0.500 0.500 0.500
4 O 0.000 0.500 0.500
5 O 0.500 0.000 0.500



x.
An optimized crystal structure of GaPRuO2. Source: Alexandria, functional PBE-GGA.

Properties
The crystal system is tetragonal. The value obtained for the total magnetic moment is 0.000 μB/atom.

Cell lengths 3.539, 3.539, 6.374 Å; angles 90.00, 90.00, 90.00 degrees
Positions (direct):
1 Ga 0.000 0.000 0.000
2 P 0.000 0.000 0.500
3 Ru 0.500 0.500 0.500
4 O 0.000 0.500 0.000
5 O 0.500 0.000 0.000



Going by the energies, w is most stable and the next is 445 meV per atom up.



w.
An optimized crystal structure of GaP2SO. Source: Alexandria, functional PBE-GGA.

Properties
The crystal system is tetragonal. The value obtained for the total magnetic moment is 0.000 μB/atom.

Cell lengths 4.719, 4.719, 4.491 Å; angles 90.00, 90.00, 90.00 degrees
Positions (direct):
1 Ga 0.000 0.000 0.000
2 P 0.000 0.500 0.000
3 P 0.500 0.000 0.000
4 S 0.000 0.000 0.500
5 O 0.500 0.500 0.500



x.
An optimized crystal structure of GaP2SO. Source: Alexandria, functional PBE-GGA.

Properties
The crystal system is tetragonal. The value obtained for the total magnetic moment is 0.000 μB/atom.

Cell lengths 4.683, 4.683, 3.455 Å; angles 90.00, 90.00, 90.00 degrees
Positions (direct):
1 Ga 0.000 0.000 0.000
2 P 0.000 0.500 0.500
3 P 0.500 0.000 0.500
4 S 0.500 0.500 0.500
5 O 0.500 0.500 0.000



y.
An optimized crystal structure of GaP2SO. Source: Alexandria, functional PBE-GGA.

Properties
The crystal system is tetragonal. The value obtained for the total magnetic moment is 0.000 μB/atom.

Cell lengths 3.755, 3.755, 6.556 Å; angles 90.00, 90.00, 90.00 degrees
Positions (direct):
1 Ga 0.000 0.000 0.000
2 P 0.000 0.500 0.500
3 P 0.500 0.000 0.500
4 S 0.500 0.500 0.000
5 O 0.500 0.500 0.500



z.
An optimized crystal structure of GaP2SO. Source: Alexandria, functional PBE-GGA.

Properties
The crystal system is tetragonal. The value obtained for the total magnetic moment is 0.095 μB/atom.

Cell lengths 4.838, 4.838, 3.602 Å; angles 90.00, 90.00, 90.00 degrees
Positions (direct):
1 Ga 0.000 0.000 0.000
2 P 0.000 0.500 0.000
3 P 0.500 0.000 0.000
4 S 0.500 0.500 0.500
5 O 0.000 0.000 0.500



Going by the energies, y is most stable and the next is 28 meV per atom up.